Mg2HgB | SCAN | PBEsol geometry

Cell and atoms, written as POSCAR:
```
Mg2HgB
1.0
4.377 0.000 0.000
0.000 4.377 0.000
0.000 0.000 16.334
Mg Hg B
8 4 4
Direct
0.198 0.250 0.125 Mg
0.250 0.698 0.375 Mg
0.250 0.802 0.875 Mg
0.302 0.250 0.625 Mg
0.698 0.750 0.625 Mg
0.750 0.198 0.875 Mg
0.750 0.302 0.375 Mg
0.802 0.750 0.125 Mg
0.000 0.000 0.500 Hg
0.000 0.500 0.750 Hg
0.500 0.000 0.250 Hg
0.500 0.500 0.000 Hg
0.000 0.000 0.000 B
0.000 0.500 0.250 B
0.500 0.000 0.750 B
0.500 0.500 0.500 B
```

Values from the calculation:
- Calculated formation energy: 15.3 kcal/mol of atoms
- E: -20.7244 eV/atom
- Size of the total moment: 0.000 μB/atom

=====

Cs3HgBr5 | SCAN | PBEsol geometry

Cell and atoms, written as POSCAR:
```
Cs3HgBr5
1.0
9.230 0.000 0.000
0.000 11.120 0.000
0.000 0.000 13.895
Cs Hg Br
12 4 20
Direct
0.075 0.250 0.051 Cs
0.082 0.019 0.332 Cs
0.082 0.481 0.332 Cs
0.418 0.519 0.832 Cs
0.418 0.981 0.832 Cs
0.425 0.750 0.551 Cs
0.575 0.250 0.449 Cs
0.582 0.019 0.168 Cs
0.582 0.481 0.168 Cs
0.918 0.519 0.668 Cs
0.918 0.981 0.668 Cs
0.925 0.750 0.949 Cs
0.194 0.250 0.613 Hg
0.306 0.750 0.113 Hg
0.694 0.250 0.887 Hg
0.806 0.750 0.387 Hg
0.046 0.750 0.494 Br
0.121 0.250 0.794 Br
0.174 0.750 0.759 Br
0.187 0.547 0.063 Br
0.187 0.953 0.063 Br
0.313 0.047 0.563 Br
0.313 0.453 0.563 Br
0.326 0.250 0.259 Br
0.379 0.750 0.294 Br
0.454 0.250 0.994 Br
0.546 0.750 0.006 Br
0.621 0.250 0.706 Br
0.674 0.750 0.741 Br
0.687 0.547 0.437 Br
0.687 0.953 0.437 Br
0.813 0.047 0.937 Br
0.813 0.453 0.937 Br
0.826 0.250 0.241 Br
0.879 0.750 0.206 Br
0.954 0.250 0.506 Br
```

Values from the calculation:
- E: -32.5088 eV/atom
- Size of the total moment: 0.000 μB/atom
- Formation energy from raw total energies: -1.5204 eV per atom

=====

InFeSN2 | SCAN | PBEsol geometry

Cell and atoms, written as POSCAR:
```
InFeSN2
1.0
3.625 0.000 0.000
0.000 3.625 0.000
0.000 0.000 4.905
In Fe S N
1 1 1 2
Direct
0.000 0.000 0.000 In
0.500 0.500 0.500 Fe
0.500 0.500 0.000 S
0.000 0.500 0.500 N
0.500 0.000 0.500 N
```

Values from the calculation:
- E: -15.2962 eV/atom
- Size of the total moment: 0.000 μB/atom
- Formation energy from raw total energies: 0.6491 eV per atom

=====

Na3SrBi | SCAN | PBEsol geometry

Cell and atoms, written as POSCAR:
```
Na3SrBi
1.0
5.984 0.000 0.000
0.000 5.984 0.000
0.000 0.000 5.984
Na Sr Bi
3 1 1
Direct
0.000 0.000 0.500 Na
0.000 0.500 0.000 Na
0.500 0.000 0.000 Na
0.500 0.500 0.500 Sr
0.000 0.000 0.000 Bi
```

Values from the calculation:
- Calculated formation energy: -2.1 kcal/mol of atoms
- E: -22.7900 eV/atom
- Size of the total moment: 0.000 μB/atom